# TlAgSnS3 PBE optimized geometry
# energy = -3.85 eV per atom
data_TlAgSnS3
_chemical_formula_sum 'Tl4 Ag4 Sn4 S12'
_symmetry_space_group_name_H-M 'C 1 2/m 1'
_symmetry_Int_Tables_number 12
_symmetry_space_group_name_Hall '-C 2y'
_cell_length_a 16.825
_cell_length_b 3.808
_cell_length_c 9.001
_cell_angle_alpha 90.00
_cell_angle_beta 102.64
_cell_angle_gamma 90.00
loop_
_atom_site_label
_atom_site_fract_x
_atom_site_fract_y
_atom_site_fract_z
Tl1 0.134 0.000 0.052
Ag1 0.004 0.500 0.717
Sn1 0.168 0.000 0.578
S1 0.000 0.000 0.500
S2 0.000 0.500 0.000
S3 0.168 0.500 0.771
S4 0.170 0.500 0.370